--- i ---
Pm2CdAg after structural relaxation. Source: Alexandria via LeMat-Bulk, functional GGA-PBE.

Unit cell a=3.781 b=3.781 c=7.555 alpha=90.00 beta=90.00 gamma=90.00
Positions (direct):
Pm  0.000  0.000  0.243
Pm  0.000  0.000  0.757
Cd  0.500  0.500  0.500
Ag  0.500  0.500  0.000

Properties
Space group ... P4/mmm, No. 123
ρ ... 7.8 Mg/m³
V ... 108.0 Å³/f.u.

--- ii ---
Pm2CdAg after structural relaxation. Source: Alexandria via LeMat-Bulk, functional GGA-PBE.

Unit cell a=7.564 b=7.564 c=7.564 alpha=90.00 beta=90.00 gamma=90.00
Positions (direct):
Pm  0.250  0.250  0.250
Pm  0.250  0.250  0.750
Pm  0.250  0.750  0.250
Pm  0.250  0.750  0.750
Pm  0.750  0.250  0.250
Pm  0.750  0.250  0.750
Pm  0.750  0.750  0.250
Pm  0.750  0.750  0.750
Cd  0.000  0.000  0.000
Cd  0.000  0.500  0.500
Cd  0.500  0.000  0.500
Cd  0.500  0.500  0.000
Ag  0.000  0.000  0.500
Ag  0.000  0.500  0.000
Ag  0.500  0.000  0.000
Ag  0.500  0.500  0.500

Properties
Space group ... Fm-3m, No. 225
ρ ... 7.8 Mg/m³
V ... 108.2 Å³/f.u.

i is preferred energetically. Next in line: 9 meV/atom higher.

--- i ---
Pm3CdAg3 after structural relaxation. Source: Alexandria via LeMat-Bulk, functional GGA-PBE.

Unit cell a=3.570 b=4.847 c=20.695 alpha=90.00 beta=90.00 gamma=90.00
Positions (direct):
Pm  0.000  0.000  0.000
Pm  0.000  0.000  0.389
Pm  0.000  0.500  0.187
Pm  0.500  0.000  0.687
Pm  0.500  0.500  0.500
Pm  0.500  0.500  0.889
Cd  0.000  0.500  0.759
Cd  0.500  0.000  0.259
Ag  0.000  0.000  0.549
Ag  0.000  0.000  0.835
Ag  0.000  0.500  0.624
Ag  0.500  0.000  0.124
Ag  0.500  0.500  0.049
Ag  0.500  0.500  0.335

Properties
Space group ... Imm2, No. 44
ρ ... 8.1 Mg/m³
V ... 179.1 Å³/f.u.

--- ii ---
Pm3CdAg3 after structural relaxation. Source: Alexandria via LeMat-Bulk, functional GGA-PBE.

Unit cell a=8.936 b=8.936 c=5.146 alpha=90.00 beta=90.00 gamma=120.00
Positions (direct):
Pm  0.085  0.435  0.250
Pm  0.350  0.915  0.250
Pm  0.435  0.350  0.750
Pm  0.565  0.650  0.250
Pm  0.650  0.085  0.750
Pm  0.915  0.565  0.750
Cd  0.333  0.667  0.750
Cd  0.667  0.333  0.250
Ag  0.035  0.209  0.750
Ag  0.175  0.965  0.750
Ag  0.209  0.175  0.250
Ag  0.791  0.825  0.750
Ag  0.825  0.035  0.250
Ag  0.965  0.791  0.250

Properties
Space group ... P6_3/m, No. 176
ρ ... 8.1 Mg/m³
V ... 177.9 Å³/f.u.

i is preferred energetically. Next in line: 123 meV/atom higher.

--- i ---
Pm4CdAg2 after structural relaxation. Source: Alexandria via LeMat-Bulk, functional GGA-PBE.

Unit cell a=9.797 b=9.797 c=9.797 alpha=30.51 beta=30.51 gamma=30.51
Positions (direct):
Pm  0.122  0.122  0.122
Pm  0.292  0.292  0.292
Pm  0.708  0.708  0.708
Pm  0.878  0.878  0.878
Cd  0.500  0.500  0.500
Ag  0.400  0.400  0.400
Ag  0.600  0.600  0.600

Properties
Space group ... R-3m, No. 166
ρ ... 7.0 Mg/m³
V ... 214.8 Å³/f.u.

--- ii ---
Pm4CdAg2 after structural relaxation. Source: Alexandria via LeMat-Bulk, functional GGA-PBE.

Unit cell a=7.691 b=10.417 c=5.088 alpha=90.00 beta=90.00 gamma=90.00
Positions (direct):
Pm  0.231  0.000  0.000
Pm  0.250  0.250  0.500
Pm  0.250  0.750  0.500
Pm  0.269  0.500  0.000
Pm  0.731  0.500  0.000
Pm  0.750  0.250  0.500
Pm  0.750  0.750  0.500
Pm  0.769  0.000  0.000
Cd  0.000  0.500  0.500
Cd  0.500  0.000  0.500
Ag  0.000  0.263  0.000
Ag  0.000  0.737  0.000
Ag  0.500  0.237  0.000
Ag  0.500  0.763  0.000

Properties
Space group ... Cmmm, No. 65
ρ ... 7.4 Mg/m³
V ... 203.8 Å³/f.u.

ii is preferred energetically. Next in line: 102 meV/atom higher.

--- i ---
Pm2Cd5Ag3 after structural relaxation. Source: Alexandria via LeMat-Bulk, functional GGA-PBE.

Unit cell a=9.427 b=9.427 c=9.427 alpha=100.57 beta=91.17 gamma=142.75
Positions (direct):
Pm  0.239  0.128  0.367
Pm  0.261  0.628  0.889
Pm  0.739  0.372  0.111
Pm  0.761  0.872  0.633
Cd  0.147  0.386  0.533
Cd  0.250  0.250  0.000
Cd  0.250  0.503  0.253
Cd  0.250  0.997  0.747
Cd  0.353  0.886  0.239
Cd  0.647  0.114  0.761
Cd  0.750  0.003  0.253
Cd  0.750  0.497  0.747
Cd  0.750  0.750  0.000
Cd  0.853  0.614  0.467
Ag  0.147  0.873  0.020
Ag  0.250  0.750  0.500
Ag  0.353  0.373  0.727
Ag  0.647  0.627  0.273
Ag  0.750  0.250  0.500
Ag  0.853  0.127  0.980

Properties
Space group ... Ibam, No. 72
ρ ... 8.2 Mg/m³
V ... 239.3 Å³/f.u.

--- ii ---
Pm2Cd5Ag3 after structural relaxation. Source: Alexandria via LeMat-Bulk, functional GGA-PBE.

Unit cell a=13.375 b=13.375 c=7.372 alpha=90.00 beta=90.00 gamma=159.21
Positions (direct):
Pm  0.017  0.983  0.500
Pm  0.324  0.676  0.578
Pm  0.676  0.324  0.078
Pm  0.983  0.017  0.000
Cd  0.106  0.894  0.832
Cd  0.201  0.799  0.408
Cd  0.214  0.786  0.808
Cd  0.377  0.623  0.008
Cd  0.449  0.551  0.690
Cd  0.551  0.449  0.190
Cd  0.623  0.377  0.508
Cd  0.786  0.214  0.308
Cd  0.799  0.201  0.908
Cd  0.894  0.106  0.332
Ag  0.107  0.893  0.228
Ag  0.273  0.727  0.119
Ag  0.449  0.551  0.295
Ag  0.551  0.449  0.795
Ag  0.727  0.273  0.619
Ag  0.893  0.107  0.728

Properties
Space group ... Cmc2_1, No. 36
ρ ... 8.3 Mg/m³
V ... 234.1 Å³/f.u.

ii is preferred energetically. Next in line: 40 meV/atom higher.

--- i ---
Pm3Cd3Ag2 after structural relaxation. Source: Alexandria via LeMat-Bulk, functional GGA-PBE.

Unit cell a=7.793 b=7.793 c=3.993 alpha=90.00 beta=90.00 gamma=120.00
Positions (direct):
Pm  0.000  0.593  0.000
Pm  0.407  0.407  0.000
Pm  0.593  0.000  0.000
Cd  0.000  0.231  0.500
Cd  0.231  0.000  0.500
Cd  0.769  0.769  0.500
Ag  0.333  0.667  0.500
Ag  0.667  0.333  0.500

Properties
Space group ... P-62m, No. 189
ρ ... 7.8 Mg/m³
V ... 210.0 Å³/f.u.

--- ii ---
Pm3Cd3Ag2 after structural relaxation. Source: Alexandria via LeMat-Bulk, functional GGA-PBE.

Unit cell a=18.416 b=4.568 c=4.992 alpha=90.00 beta=105.64 gamma=90.00
Positions (direct):
Pm  0.000  0.000  0.000
Pm  0.139  0.000  0.641
Pm  0.361  0.500  0.359
Pm  0.500  0.500  0.000
Pm  0.639  0.500  0.641
Pm  0.861  0.000  0.359
Cd  0.000  0.500  0.500
Cd  0.140  0.500  0.142
Cd  0.360  0.000  0.858
Cd  0.500  0.000  0.500
Cd  0.640  0.000  0.142
Cd  0.860  0.500  0.858
Ag  0.243  0.000  0.246
Ag  0.257  0.500  0.754
Ag  0.743  0.500  0.246
Ag  0.757  0.000  0.754

Properties
Space group ... C2/m, No. 12
ρ ... 8.1 Mg/m³
V ... 202.2 Å³/f.u.

i is preferred energetically. Next in line: 21 meV/atom higher.

--- i ---
Pm3Cd4Ag2 after structural relaxation. Source: Alexandria via LeMat-Bulk, functional GGA-PBE.

Unit cell a=6.072 b=6.072 c=9.296 alpha=117.68 beta=117.68 gamma=48.69
Positions (direct):
Pm  0.000  0.000  0.000
Pm  0.331  0.331  0.337
Pm  0.669  0.669  0.663
Cd  0.053  0.053  0.385
Cd  0.282  0.282  0.946
Cd  0.718  0.718  0.054
Cd  0.947  0.947  0.615
Ag  0.393  0.393  0.726
Ag  0.607  0.607  0.274

Properties
Space group ... C2/m, No. 12
ρ ... 8.3 Mg/m³
V ... 221.5 Å³/f.u.

--- ii ---
Pm3Cd4Ag2 after structural relaxation. Source: Alexandria via LeMat-Bulk, functional GGA-PBE.

Unit cell a=5.417 b=5.417 c=9.160 alpha=96.27 beta=96.27 gamma=57.90
Positions (direct):
Pm  0.000  0.000  0.000
Pm  0.376  0.376  0.278
Pm  0.624  0.624  0.722
Cd  0.058  0.058  0.360
Cd  0.318  0.318  0.917
Cd  0.682  0.682  0.083
Cd  0.942  0.942  0.640
Ag  0.278  0.278  0.605
Ag  0.722  0.722  0.395

Properties
Space group ... C2/m, No. 12
ρ ... 8.1 Mg/m³
V ... 225.9 Å³/f.u.

i is preferred energetically. Next in line: 43 meV/atom higher.

--- i ---
Pm4CdAg3 after structural relaxation. Source: Alexandria via LeMat-Bulk, functional GGA-PBE.

Unit cell a=3.737 b=4.917 c=11.754 alpha=90.00 beta=90.00 gamma=90.00
Positions (direct):
Pm  0.000  0.000  0.000
Pm  0.000  0.500  0.288
Pm  0.500  0.000  0.487
Pm  0.500  0.500  0.798
Cd  0.000  0.000  0.717
Ag  0.000  0.500  0.565
Ag  0.500  0.000  0.217
Ag  0.500  0.500  0.070

Properties
Space group ... Pmm2, No. 25
ρ ... 7.8 Mg/m³
V ... 215.9 Å³/f.u.

--- ii ---
Pm4CdAg3 after structural relaxation. Source: Alexandria via LeMat-Bulk, functional GGA-PBE.

Unit cell a=3.752 b=5.319 c=10.613 alpha=90.00 beta=90.00 gamma=90.00
Positions (direct):
Pm  0.000  0.000  0.000
Pm  0.000  0.000  0.500
Pm  0.000  0.500  0.244
Pm  0.000  0.500  0.756
Cd  0.500  0.500  0.500
Ag  0.500  0.000  0.253
Ag  0.500  0.000  0.747
Ag  0.500  0.500  0.000

Properties
Space group ... Pmmm, No. 47
ρ ... 8.0 Mg/m³
V ... 211.8 Å³/f.u.

ii is preferred energetically. Next in line: 33 meV/atom higher.

--- i ---
PmCd6Ag4 after structural relaxation. Source: Alexandria via LeMat-Bulk, functional GGA-PBE.

Unit cell a=7.256 b=7.256 c=7.256 alpha=120.83 beta=120.83 gamma=88.57
Positions (direct):
Pm  0.000  0.000  0.000
Cd  0.000  0.500  0.500
Cd  0.110  0.469  0.000
Cd  0.469  0.110  0.000
Cd  0.500  0.000  0.500
Cd  0.531  0.531  0.641
Cd  0.890  0.890  0.359
Ag  0.256  0.256  0.656
Ag  0.400  0.744  0.000
Ag  0.600  0.600  0.344
Ag  0.744  0.400  0.000

Properties
Space group ... I-42m, No. 121
ρ ... 7.8 Mg/m³
V ... 266.6 Å³/f.u.

--- ii ---
PmCd6Ag4 after structural relaxation. Source: Alexandria via LeMat-Bulk, functional GGA-PBE.

Unit cell a=8.027 b=8.027 c=4.394 alpha=90.00 beta=90.00 gamma=120.00
Positions (direct):
Pm  0.000  0.000  0.000
Cd  0.198  0.397  0.500
Cd  0.198  0.802  0.500
Cd  0.535  0.069  0.000
Cd  0.535  0.465  0.000
Cd  0.603  0.802  0.500
Cd  0.931  0.465  0.000
Ag  0.333  0.667  0.000
Ag  0.401  0.200  0.500
Ag  0.800  0.200  0.500
Ag  0.800  0.599  0.500

Properties
Space group ... P-6m2, No. 187
ρ ... 8.5 Mg/m³
V ... 245.2 Å³/f.u.

ii is preferred energetically. Next in line: 63 meV/atom higher.